# Cu4PCl

A geometry-optimized Cu4PCl structure (PBE, Alexandria via LeMat-Bulk).

Lattice parameters (Å, degrees): 4.433 4.433 9.836 90.00 90.00 90.00
Positions (direct):
P (0.000, 0.000, 0.500)
P (0.000, 0.000, 0.000)
Cu (0.376, 0.249, 0.400)
Cu (0.624, 0.751, 0.400)
Cu (0.249, 0.624, 0.600)
Cu (0.751, 0.376, 0.600)
Cu (0.624, 0.249, 0.100)
Cu (0.376, 0.751, 0.100)
Cu (0.751, 0.624, 0.900)
Cu (0.249, 0.376, 0.900)
Cl (0.000, 0.500, 0.250)
Cl (0.500, 0.000, 0.750)

Summary:
Spin magnetization   0.00 μB per cell
Uncorrected formation energy   154.0 kJ/mol of formula units
Distance to the lowest polymorph of the same formula   0.388 eV per atom